Computed, not measured: a geometry-optimized BaPI3 structure at the PBEsol level of DFT.

Cell: 5.580 5.580 5.580 Å, 90.00 90.00 90.00°
Fractional positions:
I: 0.000 0.500 0.000
I: 0.000 0.000 0.500
I: 0.500 0.000 0.000
P: 0.000 0.000 0.000
Ba: 0.500 0.500 0.500

Values from the calculation:
**Symmetry**: Pm-3m



Computed, not measured: a geometry-optimized BeCu3 structure at the PBEsol level of DFT.

Cell: 3.995 4.276 4.911 Å, 90.00 90.00 90.00°
Fractional positions:
Be: 0.000 0.330 0.000
Be: 0.500 0.670 0.500
Cu: 0.500 0.658 0.000
Cu: 0.000 0.342 0.500
Cu: 0.000 0.831 0.750
Cu: 0.000 0.831 0.250
Cu: 0.500 0.169 0.250
Cu: 0.500 0.169 0.750

Values from the calculation:
**Symmetry**: Pmmn
**Calculated formation energy**: -29 meV per atom



Computed, not measured: a geometry-optimized ReSi2P3O15 structure at the PBEsol level of DFT.

Cell: 7.924 7.918 10.961 Å, 73.03 84.91 60.08°
Fractional positions:
Re: 0.229 0.471 0.423
Re: 0.771 0.529 0.577
Si: 0.838 0.321 0.026
Si: 0.162 0.679 0.974
Si: 0.515 0.932 0.153
Si: 0.485 0.068 0.847
P: 0.164 0.319 0.174
P: 0.836 0.681 0.826
P: 0.476 0.569 0.171
P: 0.524 0.431 0.829
P: 0.916 0.878 0.173
P: 0.084 0.122 0.827
O: 0.000 0.500 0.500
O: 0.500 0.000 0.000
O: 0.135 0.376 0.297
O: 0.865 0.624 0.703
O: 0.700 0.932 0.207
O: 0.300 0.068 0.793
O: 0.044 0.751 0.295
O: 0.956 0.249 0.705
O: 0.302 0.717 0.073
O: 0.698 0.283 0.927
O: 0.960 0.764 0.071
O: 0.040 0.236 0.929
O: 0.971 0.357 0.125
O: 0.029 0.643 0.875
O: 0.548 0.701 0.208
O: 0.452 0.299 0.792
O: 0.281 0.599 0.501
O: 0.719 0.401 0.499
O: 0.422 0.462 0.296
O: 0.578 0.538 0.704
O: 0.256 0.422 0.072
O: 0.744 0.578 0.928
O: 0.640 0.403 0.123
O: 0.360 0.597 0.877
O: 0.925 0.072 0.123
O: 0.075 0.928 0.877
O: 0.378 0.223 0.508
O: 0.622 0.777 0.492
O: 0.316 0.083 0.207
O: 0.684 0.917 0.793

Values from the calculation:
**Symmetry**: P-1



Computed, not measured: a geometry-optimized Cd2CuRh structure at the PBEsol level of DFT.

Cell: 2.980 3.655 5.779 Å, 90.00 90.00 90.00°
Fractional positions:
Rh: 0.500 0.500 0.500
Cu: 0.500 0.500 0.000
Cd: 0.000 0.000 0.751
Cd: 0.000 0.000 0.249

Values from the calculation:
**Symmetry**: Pmmm
**Calculated formation energy**: -10 meV per atom



Computed, not measured: a geometry-optimized MnFe3 structure at the PBEsol level of DFT.

Cell: 4.414 4.414 4.414 Å, 90.00 90.00 90.00°
Fractional positions:
Fe: 0.250 0.500 0.000
Fe: 0.750 0.500 0.000
Fe: 0.000 0.250 0.500
Fe: 0.000 0.750 0.500
Fe: 0.500 0.000 0.250
Fe: 0.500 0.000 0.750
Mn: 0.000 0.000 0.000
Mn: 0.500 0.500 0.500

Values from the calculation:
**Symmetry**: Pm-3n
**Calculated formation energy**: 96 meV per atom



Computed, not measured: a geometry-optimized BeZnPb2 structure at the PBEsol level of DFT.

Cell: 4.894 4.966 4.894 Å, 60.47 90.00 119.53°
Fractional positions:
Pb: 0.250 0.500 0.250
Pb: 0.750 0.500 0.750
Be: 0.000 0.000 0.000
Zn: 0.500 0.000 0.500

Values from the calculation:
**Symmetry**: I4/mmm
**Energy above the most stable polymorph in this dataset**: 188.0 meV/atom
**Calculated formation energy**: 503 meV per atom



Computed, not measured: a geometry-optimized LaCuAs2 structure at the PBEsol level of DFT.

Cell: 4.183 4.183 5.474 Å, 112.46 112.46 90.00°
Fractional positions:
As: 0.000 0.000 0.000
As: 0.750 0.250 0.500
Cu: 0.500 0.500 0.000
La: 0.250 0.750 0.500

Values from the calculation:
**Symmetry**: I-4m2
**Calculated formation energy**: -422 meV per atom



Computed, not measured: a geometry-optimized MgSnIr2 structure at the PBEsol level of DFT.

Cell: 4.451 4.451 4.451 Å, 60.00 60.00 60.00°
Fractional positions:
Mg: 0.000 0.000 0.000
Ir: 0.250 0.250 0.250
Ir: 0.750 0.750 0.750
Sn: 0.500 0.500 0.500

Values from the calculation:
**Symmetry**: Fm-3m
**Calculated formation energy**: -317 meV per atom



In order of appearance, total magnetic moment = 0.003 0.000 0.000 0.000 8.721 0.000 0.000 0.000 μB/cell.
In order of appearance, total DFT energy (no corrections) = -3.281 -4.280 -7.953 -3.727 -9.067 -2.892 -5.396 -6.723 eV per atom.